Here is La2TcMoC after structural relaxation from Alexandria. Energies are from PBE.

Values from the calculation:
VASP energy: -7.630 eV/atom
ΔH_f (0 K): 0.4250 eV/atom

Cell: 5.2215 5.2215 4.0377 Å, 90.00 90.00 90.00°
Last column: nearest neighbours and their distance in Å.
Space group P4/mmm (No. 123)
Unique sites:
La1 0.0000 0.5000 0.0000  2 C 2.61
Tc1 0.0000 0.0000 0.5000  8 La 3.30, 4 Mo 3.69
Mo1 0.5000 0.5000 0.5000  2 C 2.02
C1 0.5000 0.5000 0.0000  2 Mo 2.02

---

Here is LaTh2MoC4 after structural relaxation from Alexandria. Energies are from PBE.

Values from the calculation:
VASP energy: -8.515 eV/atom
ΔH_f (0 K): -0.0780 eV/atom

Cell: 3.6797 12.5746 12.8021 Å, 90.00 90.00 90.00°
Last column: nearest neighbours and their distance in Å.
Space group Cmcm (No. 63)
Unique sites:
La1 0.0000 0.1003 0.2500  6 C 2.94-2.99
Th1 0.0000 0.3689 0.0406  6 C 2.52-2.74
Mo1 0.0000 0.1683 0.7500  4 C 1.94-2.10
C1 0.0000 0.0000 0.0000  4 Th 2.52
C2 0.0000 0.2636 0.6309  1 Mo 1.94
C3 0.0000 0.4130 0.2500  2 Mo 2.10

---

Here is La2TlMoC after structural relaxation from Alexandria. Energies are from PBE.

Values from the calculation:
VASP energy: -6.534 eV/atom
ΔH_f (0 K): -0.0786 eV/atom

Cell: 5.3842 5.3842 4.1502 Å, 90.00 90.00 90.00°
Last column: nearest neighbours and their distance in Å.
Space group P4/mmm (No. 123)
Unique sites:
La1 0.0000 0.5000 0.0000  2 C 2.69
Tl1 0.0000 0.0000 0.5000  8 La 3.40
Mo1 0.5000 0.5000 0.5000  2 C 2.08
C1 0.5000 0.5000 0.0000  2 Mo 2.08

---

Here is LaTlMo2C after structural relaxation from Alexandria. Energies are from PBE.

Values from the calculation:
VASP energy: -6.999 eV/atom
ΔH_f (0 K): 0.6373 eV/atom

Cell: 4.3112 4.3112 5.3247 Å, 90.00 90.00 90.00°
Last column: nearest neighbours and their distance in Å.
Space group P4/mmm (No. 123)
Unique sites:
La1 0.0000 0.0000 0.0000  4 Tl 3.05
Tl1 0.5000 0.5000 0.0000  2 C 2.66
Mo1 0.0000 0.5000 0.5000  2 C 2.16
C1 0.5000 0.5000 0.5000  4 Mo 2.16

---

Here is LaUMoC3 after structural relaxation from Alexandria. Energies are from PBE.

Values from the calculation:
VASP energy: -9.024 eV/atom
ΔH_f (0 K): 0.0961 eV/atom

Cell: 7.4013 3.6737 8.0765 Å, 90.00 98.53 90.00°
Last column: nearest neighbours and their distance in Å.
Space group P2_1/m (No. 11)
Unique sites:
La1 0.1691 0.2500 0.1774  5 C 2.60-2.90
U1 0.3580 0.7500 0.8423  5 C 2.22-2.47
Mo1 0.1012 0.2500 0.6002  4 C 2.01-2.11
C1 0.1373 0.2500 0.8520  1 Mo 2.01
C2 0.1714 0.7500 0.5226  3 Mo 2.03-2.11
C3 0.4376 0.7500 0.1181  3 U 2.22-2.37

---

Here is La6C2N after structural relaxation from Alexandria. Energies are from PBE.

Values from the calculation:
E_form (uncorrected): -388 meV/atom
VASP energy: -6.648 eV/atom

Cell: 17.4640 3.7158 8.1040 Å, 90.00 110.34 90.00°
Last column: nearest neighbours and their distance in Å.
Space group C2/m (No. 12)
Unique sites:
La1 0.0078 0.0000 0.2223  2 N 2.56, 1 C 2.57
La2 0.1547 0.5000 0.1025  1 N 2.54, 2 C 2.58
La3 0.1754 0.5000 0.5607  3 C 2.59-2.62
C1 0.1648 0.0000 0.3308  6 La 2.57-2.62
N1 0.0000 0.5000 0.0000  6 La 2.54-2.56

---

no.,theoretical density (g/cm3),total magnetization (μB/f.u.),Fermi-level density of states (states/eV per cell)
1,7.297,2.071,5.95
2,8.376,0.000,15.06
3,8.145,0.000,5.60
4,9.181,0.000,4.41
5,7.782,0.000,9.43
6,5.869,0.001,15.64